Record 1
MgMnGaSiS | PBE | optimized geometry

Unit cell a=6.1262 b=3.7787 c=7.6321 alpha=90.00 beta=103.42 gamma=90.00
Last column: nearest neighbours and their distance in Å.
Fractional coordinates of all 10 atoms:
Mg: 0.8267 0.0000 0.9735  3 S 2.53-2.63, 1 Mn 2.81
Mg: 0.8267 0.5000 0.4735  3 S 2.53-2.63, 1 Mn 2.81
Mn: 0.3546 0.0000 0.8784  3 Si 2.37-2.47, 1 S 2.37, 3 Ga 2.54-2.56
Mn: 0.3546 0.5000 0.3784  3 Si 2.37-2.47, 1 S 2.37, 3 Ga 2.54-2.56
Ga: 0.5077 0.0000 0.2201  2 Si 2.50, 3 Mn 2.54-2.56
Ga: 0.5077 0.5000 0.7201  2 Si 2.50, 3 Mn 2.54-2.56
Si: 0.2927 0.0000 0.5474  1 S 2.33, 3 Mn 2.37-2.47, 2 Ga 2.50
Si: 0.2927 0.5000 0.0474  1 S 2.33, 3 Mn 2.37-2.47, 2 Ga 2.50
S: 0.9907 0.0000 0.6846  1 Si 2.33, 1 Mn 2.37, 2 Mg 2.53
S: 0.9907 0.5000 0.1846  1 Si 2.33, 1 Mn 2.37, 2 Mg 2.53

The calculation puts the uncorrected formation energy at -1.352 eV/f.u. For the energy above the most stable polymorph in this dataset, the calculation gives 0.247 eV per formula unit. The total energy comes out at -4.94 eV per atom. As for the total magnetization: 0.264 μB per atom. As for the density: 4041 kg/m3.

***

Record 2
Ho2ReN4 | PBE | optimized geometry

Unit cell a=5.8275 b=5.8465 c=6.4385 alpha=90.00 beta=107.51 gamma=90.00
Last column: nearest neighbours and their distance in Å.
Fractional coordinates of all 14 atoms:
Ho: 0.6671 0.7500 0.0348  6 N 2.32-2.50
Ho: 0.3329 0.2500 0.9652  6 N 2.32-2.50
Ho: 0.2671 0.2500 0.4432  6 N 2.34-2.57
Ho: 0.7329 0.7500 0.5568  6 N 2.34-2.57
Re: 0.2071 0.7500 0.1865  4 N 1.80-1.94
Re: 0.7929 0.2500 0.8135  4 N 1.80-1.94
N: 0.4534 0.5160 0.2447  1 Re 1.94
N: 0.0240 0.7500 0.9056  1 Re 1.80
N: 0.9760 0.2500 0.0944  1 Re 1.80
N: 0.4534 0.9840 0.2447  1 Re 1.94
N: 0.9869 0.2500 0.6384  1 Re 1.82
N: 0.5466 0.0160 0.7553  1 Re 1.94
N: 0.5466 0.4840 0.7553  1 Re 1.94
N: 0.0131 0.7500 0.3616  1 Re 1.82

The calculation puts the uncorrected formation energy at -6.290 eV/f.u. For the energy above the most stable polymorph in this dataset, the calculation gives 0.000 eV per formula unit. The total energy comes out at -8.74 eV per atom. As for the total magnetization: 0.000 μB per atom. As for the density: 9082 kg/m3.

***

Record 3
AcPm2Nd3Y6 | PBE | optimized geometry

Unit cell a=6.3316 b=6.3316 c=11.9571 alpha=95.05 beta=95.05 gamma=119.99
Last column: nearest neighbours and their distance in Å.
Fractional coordinates of all 12 atoms:
Ac: 0.0000 0.0000 0.0000  6 Y 3.65, 6 Pm 3.65-3.66
Pm: 0.3333 0.6667 0.0000  6 Y 3.63-3.64, 3 Ac 3.65-3.66, 3 Pm 3.66
Pm: 0.6667 0.3333 0.0000  6 Y 3.63-3.64, 3 Ac 3.65-3.66, 3 Pm 3.66
Nd: 0.1670 0.8330 0.5000  6 Y 3.59-3.61, 6 Nd 3.65-3.66
Nd: 0.8330 0.1670 0.5000  6 Y 3.59-3.61, 6 Nd 3.65-3.66
Nd: 0.5000 0.5000 0.5000  6 Y 3.59-3.60, 6 Nd 3.65-3.66
Y: 0.9152 0.5797 0.7478  3 Nd 3.59-3.61, 2 Pm 3.63-3.64, 6 Y 3.64-3.68, 1 Ac 3.65
Y: 0.7490 0.7490 0.2524  3 Nd 3.59-3.60, 2 Pm 3.64, 6 Y 3.64-3.68, 1 Ac 3.65
Y: 0.0848 0.4203 0.2522  3 Nd 3.59-3.61, 2 Pm 3.63-3.64, 6 Y 3.64-3.68, 1 Ac 3.65
Y: 0.5797 0.9152 0.7478  3 Nd 3.59-3.61, 2 Pm 3.63-3.64, 6 Y 3.64-3.68, 1 Ac 3.65
Y: 0.2510 0.2510 0.7476  3 Nd 3.59-3.60, 2 Pm 3.64, 6 Y 3.64-3.68, 1 Ac 3.65
Y: 0.4203 0.0848 0.2522  3 Nd 3.59-3.61, 2 Pm 3.63-3.64, 6 Y 3.64-3.68, 1 Ac 3.65

The formation enthalpy at 0 K is 0.0159 eV/atom. The total energy comes out at -5.54 eV per atom. As for the total magnetization: 0.000 μB per atom. As for the density: 6026 kg/m3.

***

Record 4
Cs2SbPb2 | PBE | optimized geometry

Unit cell a=11.3711 b=11.3711 c=3.5225 alpha=90.00 beta=90.00 gamma=90.00
Last column: nearest neighbours and their distance in Å.
Fractional coordinates of all 10 atoms:
Pb: 0.4089 0.9089 0.0000  1 Pb 2.93
Pb: 0.9089 0.5911 0.0000  1 Pb 2.93
Pb: 0.5911 0.0911 0.0000  1 Pb 2.93
Pb: 0.0911 0.4089 0.0000  1 Pb 2.93
Cs: 0.2071 0.7071 0.5000  2 Cs 3.52, 2 Pb 3.69
Cs: 0.7071 0.7929 0.5000  2 Cs 3.52, 2 Pb 3.69
Cs: 0.7929 0.2929 0.5000  2 Cs 3.52, 2 Pb 3.69
Cs: 0.2929 0.2071 0.5000  2 Cs 3.52, 2 Pb 3.69
Sb: 0.0000 0.0000 0.0000  2 Sb 3.52
Sb: 0.5000 0.5000 0.0000  2 Sb 3.52

The calculation puts the uncorrected formation energy at 0.742 eV/f.u. For the energy above the most stable polymorph in this dataset, the calculation gives 1.400 eV per formula unit. The total energy comes out at -2.50 eV per atom. As for the total magnetization: 0.000 μB per atom. As for the density: 5848 kg/m3.

***

Record 5
P4O7 | PBE | optimized geometry

Unit cell a=7.5490 b=10.1434 c=10.1531 alpha=90.00 beta=90.00 gamma=95.52
Last column: nearest neighbours and their distance in Å.
Fractional coordinates of all 44 atoms:
P: 0.9027 0.9412 0.3411  3 O 1.65-1.70
P: 0.7047 0.8390 0.1041  3 O 1.66-1.69
P: 0.5973 0.5588 0.8411  3 O 1.65-1.70
P: 0.0973 0.0588 0.6589  3 O 1.65-1.70
P: 0.4601 0.9807 0.7100  3 O 1.66-1.71
P: 0.5399 0.0193 0.2900  3 O 1.66-1.71
P: 0.6616 0.3834 0.6233  4 O 1.46-1.61
P: 0.2953 0.1610 0.8959  3 O 1.66-1.69
P: 0.2047 0.3390 0.3959  3 O 1.66-1.69
P: 0.9601 0.4807 0.7900  3 O 1.66-1.71
P: 0.1616 0.8834 0.8767  4 O 1.46-1.61
P: 0.7953 0.6610 0.6041  3 O 1.66-1.69
P: 0.8384 0.1166 0.1233  4 O 1.46-1.61
P: 0.3384 0.6166 0.3767  4 O 1.46-1.61
P: 0.4027 0.4412 0.1589  3 O 1.65-1.70
P: 0.0399 0.5193 0.2100  3 O 1.66-1.71
O: 0.9658 0.6050 0.6821  2 P 1.66-1.67
O: 0.2067 0.0160 0.9618  2 P 1.61-1.69
O: 0.7941 0.5167 0.8867  2 P 1.65-1.66
O: 0.4162 0.7303 0.4526  1 P 1.46
O: 0.0838 0.7697 0.9526  1 P 1.46
O: 0.3457 0.8623 0.8047  2 P 1.60-1.71
O: 0.5364 0.4292 0.7398  2 P 1.61-1.70
O: 0.0364 0.9292 0.7602  2 P 1.61-1.70
O: 0.1543 0.6377 0.3047  2 P 1.60-1.71
O: 0.3451 0.3269 0.2718  2 P 1.66
O: 0.6549 0.6731 0.7282  2 P 1.66
O: 0.6543 0.1377 0.1953  2 P 1.60-1.71
O: 0.7933 0.9840 0.0382  2 P 1.61-1.69
O: 0.9636 0.0708 0.2398  2 P 1.61-1.70
O: 0.4658 0.1050 0.8179  2 P 1.66-1.67
O: 0.9162 0.2303 0.0474  1 P 1.46
O: 0.7067 0.5160 0.5382  2 P 1.61-1.69
O: 0.8451 0.8269 0.2282  2 P 1.66
O: 0.4636 0.5708 0.2602  2 P 1.61-1.70
O: 0.5342 0.8950 0.1821  2 P 1.66-1.67
O: 0.7059 0.9833 0.3867  2 P 1.65-1.66
O: 0.8457 0.3623 0.6953  2 P 1.60-1.71
O: 0.0342 0.3950 0.3179  2 P 1.66-1.67
O: 0.1549 0.1731 0.7718  2 P 1.66
O: 0.5838 0.2697 0.5474  1 P 1.46
O: 0.2059 0.4833 0.1133  2 P 1.65-1.66
O: 0.2933 0.4840 0.4618  2 P 1.61-1.69
O: 0.2941 0.0167 0.6133  2 P 1.65-1.66

The calculation puts the uncorrected formation energy at -18.536 eV/f.u. The total energy comes out at -6.81 eV per atom. As for the total magnetization: 0.000 μB per atom. As for the density: 2025 kg/m3.

***

Record 6
MnHgPBr | PBE | optimized geometry

Unit cell a=4.3136 b=4.4769 c=12.9809 alpha=90.00 beta=90.00 gamma=90.00
Last column: nearest neighbours and their distance in Å.
Fractional coordinates of all 8 atoms:
Mn: 0.0000 0.0000 0.4979  2 P 2.47, 2 Br 2.62
Mn: 0.0000 0.5000 0.9979  2 P 2.47, 2 Br 2.62
Hg: 0.5000 0.0000 0.1592  2 P 2.41
Hg: 0.5000 0.5000 0.6592  2 P 2.41
P: 0.5000 0.0000 0.5901  2 Hg 2.41, 2 Mn 2.47
P: 0.5000 0.5000 0.0901  2 Hg 2.41, 2 Mn 2.47
Br: 0.0000 0.0000 0.8927  2 Mn 2.62
Br: 0.0000 0.5000 0.3927  2 Mn 2.62

The calculation puts the uncorrected formation energy at -0.358 eV/f.u. For the energy above the most stable polymorph in this dataset, the calculation gives 0.383 eV per formula unit. The total energy comes out at -4.23 eV per atom. As for the total magnetization: 1.251 μB per atom. As for the density: 4854 kg/m3.